(a)
Na3Hg2Bi4 PBE optimized geometry; symmetry = C2/c (15); density of states at the Fermi level = 9.5 states/eV/cell
1.0
8.441 -4.653 0.000
8.441 4.653 0.000
-0.001 0.000 6.733
Na Hg Bi
6 4 8
Cartesian
8.441 4.652 1.683 Na
8.440 -4.652 5.050 Na
5.550 0.000 1.684 Na
5.550 0.000 5.050 Na
11.331 0.000 1.682 Na
11.331 0.000 5.049 Na
2.926 1.568 6.730 Hg
2.927 -1.568 3.363 Hg
13.954 1.568 3.369 Hg
13.955 -1.568 0.003 Hg
5.674 3.048 3.369 Bi
8.325 1.620 6.733 Bi
8.555 1.620 3.366 Bi
11.207 3.048 6.730 Bi
5.674 -3.048 0.003 Bi
8.326 -1.620 3.366 Bi
8.555 -1.620 0.000 Bi
11.207 -3.048 3.364 Bi


(b)
Na3Hg2Bi4 PBE optimized geometry; symmetry = P-1 (2); density of states at the Fermi level = 2.2 states/eV/cell
1.0
5.366 0.000 0.000
-2.662 5.810 0.000
-0.056 -2.123 8.643
Na Hg Bi
3 2 4
Cartesian
0.000 0.000 0.000 Na
-0.071 0.185 5.722 Na
2.720 3.502 2.921 Na
0.039 1.630 2.862 Hg
2.610 2.057 5.781 Hg
0.016 3.685 0.526 Bi
-0.062 3.722 5.595 Bi
2.711 -0.035 3.048 Bi
2.633 0.002 8.117 Bi


So which one is most stable? That would be (b), about 31 meV per atom below the next structure.